VASP calculation (PBE) on crystalline NaGaC at its relaxed geometry.

abc: 5.7146 4.9131 7.8420
angles: 90.00 97.87 90.00
Space group Cm (No. 8)
Inequivalent atoms, fractional coordinates:
Na (0.0000, 0.0000, 0.0000) (multiplicity 2)
Na (0.1122, 0.0000, 0.4294) (multiplicity 2)
Ga (0.0690, 0.5000, 0.2581) (multiplicity 2)
Ga (0.1480, 0.5000, 0.6303) (multiplicity 2)
C (0.2792, 0.1308, 0.7581) (multiplicity 4)

Calculated values
- electronic total energy (eV per atom) = -4.06
- calculated volume (Å³ per cell) = 218.1
- calculated formation energy (meV/atom) = 458.5
- total magnetic moment (μB/f.u.) = 0.0